Below is DyCrTeO6 after structural relaxation, with properties calculated at the GGA+U level.

excess energy over the best structure of this formula in the dataset	0.2594	eV per atom
space group	P-31c, No. 163
total magnetization	5.989	Bohr magnetons per cell

The structure in POSCAR format:
```
DyCrTeO6
1.0
2.707 -4.688 0.000
2.707 4.688 0.000
0.000 0.000 8.617
Cr O Dy Te
2 12 2 2
Direct
0.000 0.000 0.000
0.000 0.000 0.500
0.354 0.043 0.876
0.043 0.354 0.376
0.689 0.043 0.624
0.311 0.957 0.376
0.689 0.646 0.876
0.646 0.689 0.376
0.957 0.311 0.876
0.043 0.689 0.124
0.957 0.646 0.624
0.311 0.354 0.124
0.354 0.311 0.624
0.646 0.957 0.124
0.333 0.667 0.750
0.667 0.333 0.250
0.667 0.333 0.750
0.333 0.667 0.250
```